Here is a relaxed Mn4Nb2O9 crystal from Alexandria. Energies are from PBE+U.

Theoretical density   5.0 Mg/m³
SG   Cc (9)
Fermi-level density of states   0.0 states/eV/cell
Calculated total energy   -8.415 eV/atom
Magnetization   40.00 μB per cell

Cell and atoms, written as extended XYZ:
```
30
Lattice="2.697 5.066 0.003 -2.697 5.066 0.003 0.000 0.649 13.413" Properties=species:S:1:pos:R:3 pbc="T T T"
Mn -0.037 10.381 6.688
Mn 0.037 10.706 13.395
Mn 0.068 10.176 9.894
Mn -0.097 6.505 5.409
Mn -0.001 2.990 1.016
Mn -0.068 9.851 3.187
Mn 0.097 6.830 12.115
Mn 0.001 3.314 7.723
Nb -0.038 6.880 2.168
Nb 0.101 3.887 11.293
Nb 0.038 7.205 8.874
Nb -0.101 3.563 4.587
O 0.689 8.977 8.123
O 0.645 5.550 3.462
O 0.778 2.502 12.382
O -1.591 4.915 4.934
O 1.031 6.464 0.636
O 1.061 3.441 9.578
O 0.779 4.507 6.134
O -1.698 6.036 1.769
O 1.040 8.195 10.701
O 1.698 6.361 8.475
O -1.040 7.870 3.994
O -0.779 4.832 12.841
O -1.031 6.788 7.342
O -1.061 3.117 2.871
O 1.591 5.239 11.641
O -0.778 2.178 5.676
O -0.689 8.653 1.416
O -0.645 5.875 10.168
```